A plane-wave DFT calculation with PBE with a Hubbard U was carried out for WO after structural relaxation.

Computed properties:
Space group   I4/m (87)
Polymorph energy (0 for the lowest one)   0.21 eV per formula unit
DFT total energy   -6.745 eV/atom

Structure (POSCAR):
```
WO
1.0
-2.270 -6.420 -5.343
7.835 0.283 -3.669
0.944 -1.891 1.870
O W
8 8
Cartesian
5.446 -1.635 -2.273
1.063 -6.392 -4.869
5.643 -2.095 -4.967
3.119 -5.119 -6.748
5.700 -5.032 -5.835
0.808 -2.996 -1.307
2.446 -1.018 -2.264
-0.079 -4.041 -4.045
1.379 -2.617 -3.342
1.703 -4.388 -5.295
4.634 -6.631 -6.913
-0.719 -6.046 -3.619
1.875 -1.396 -0.229
4.185 -3.519 -5.670
7.228 -1.982 -3.523
3.861 -1.749 -3.717
```